Entry i
TbSmScZn | the Alexandria database | PBE | optimized geometry; total moment = 0.0 μB per cell; D(E_F) = 4.62 states/eV/f.u.; crystal system = cubic
1.0
0.000 3.719 3.719
3.719 0.000 3.719
3.719 3.719 0.000
Tb Sm Sc Zn
1 1 1 1
Direct
0.000 0.000 0.000
0.500 0.500 0.500
0.750 0.750 0.750
0.250 0.250 0.250

Entry ii
TbSmScZn | the Alexandria database | PBE | optimized geometry; total moment = 0.0 μB per cell; D(E_F) = 4.16 states/eV/f.u.; crystal system = tetragonal
1.0
3.493 0.000 0.000
0.000 3.493 0.000
0.000 0.000 8.489
Tb Sm Sc Zn
1 1 1 1
Direct
0.000 0.000 0.000
0.500 0.500 0.312
0.000 0.000 0.597
0.500 0.500 0.771

We find entry ii to be the most stable, with the next structure 0.137 eV/atom higher.